Record 1
This record from the Alexandria database describes an optimized crystal structure of Ag2HgF5. The functional is PBE-GGA.

Results
As for the density of states at the Fermi level: 6.277 states/eV/cell. The magnetic moment comes out at 0.00 μB per atom. The formation energy (no corrections) is -1210 meV/atom.

Unit cell a=8.1408 b=8.1408 c=5.9986 alpha=92.71 beta=92.71 gamma=40.60
Closest atoms and distances in Å follow each position.
Sites, in units of the cell vectors:
Ag1 0.1660 0.6875 0.9567  4 F 2.20-2.34
Ag2 0.3125 0.8340 0.5433  4 F 2.20-2.34
Ag3 0.6875 0.1660 0.4567  4 F 2.20-2.34
Ag4 0.8340 0.3125 0.0433  4 F 2.20-2.34
Hg1 0.0000 0.5000 0.5000  2 F 2.14
Hg2 0.5000 0.0000 0.0000  2 F 2.14
F1 0.0423 0.9577 0.2500  4 Ag 2.32-2.34
F2 0.1505 0.2307 0.8185  1 Hg 2.14
F3 0.2307 0.1505 0.3185  1 Hg 2.14
F4 0.3406 0.4432 0.6569  2 Ag 2.20-2.21
F5 0.4432 0.3406 0.1569  2 Ag 2.20-2.21
F6 0.5568 0.6594 0.8431  2 Ag 2.20-2.21
F7 0.6594 0.5568 0.3431  2 Ag 2.20-2.21
F8 0.7693 0.8495 0.6815  1 Hg 2.14
F9 0.8495 0.7693 0.1815  1 Hg 2.14
F10 0.9577 0.0423 0.7500  4 Ag 2.32-2.34

***

Record 2
This record from the Alexandria database describes an optimized crystal structure of AgHg2F. The functional is PBE-GGA.

Results
As for the density of states at the Fermi level: 1.682 states/eV/cell. The magnetic moment comes out at 0.00 μB per atom. The formation energy (no corrections) is -529 meV/atom.

Unit cell a=5.7690 b=6.4723 c=10.1319 alpha=83.02 beta=89.95 gamma=89.97
Closest atoms and distances in Å follow each position.
Sites, in units of the cell vectors:
Ag1 0.0490 0.1724 0.4021  2 F 2.34-2.36
Ag2 0.4508 0.6720 0.9019  2 F 2.34-2.36
Ag3 0.5492 0.3280 0.0981  2 F 2.34-2.36
Ag4 0.9510 0.8276 0.5979  2 F 2.34-2.36
Hg1 0.1548 0.5906 0.1227  1 F 2.52, 1 Ag 2.81
Hg2 0.2396 0.0898 0.9316  2 Ag 3.01, 3 Hg 3.08-3.24, 1 F 3.24
Hg3 0.2610 0.5898 0.4311  2 Ag 3.01, 3 Hg 3.08-3.24, 1 F 3.24
Hg4 0.3446 0.0906 0.6228  1 F 2.52, 1 Ag 2.81
Hg5 0.6554 0.9094 0.3772  1 F 2.52, 1 Ag 2.81
Hg6 0.7390 0.4102 0.5689  2 Ag 3.01, 3 Hg 3.08-3.24, 1 F 3.24
Hg7 0.7604 0.9102 0.0684  2 Ag 3.01, 3 Hg 3.08-3.24, 1 F 3.24
Hg8 0.8452 0.4094 0.8773  1 F 2.52, 1 Ag 2.81
F1 0.1690 0.5980 0.7459  2 Ag 2.34-2.36, 1 Hg 2.52
F2 0.3313 0.0982 0.2461  2 Ag 2.34-2.36, 1 Hg 2.52
F3 0.6687 0.9018 0.7539  2 Ag 2.34-2.36, 1 Hg 2.52
F4 0.8310 0.4020 0.2541  2 Ag 2.34-2.36, 1 Hg 2.52

***

Record 3
This record from the Alexandria database describes an optimized crystal structure of AgHg2F11. The functional is PBE-GGA.

Results
As for the density of states at the Fermi level: 18.046 states/eV/cell. The magnetic moment comes out at 0.00 μB per atom. The formation energy (no corrections) is -826 meV/atom.

Unit cell a=8.5654 b=8.5654 c=8.5654 alpha=117.48 beta=106.66 gamma=104.59
Closest atoms and distances in Å follow each position.
Sites, in units of the cell vectors:
Ag1 0.2500 0.2500 0.0000  8 F 2.25-2.46
Ag2 0.7500 0.7500 0.0000  8 F 2.25-2.46
Hg1 0.2205 0.7000 0.9205  4 F 2.03-2.04
Hg2 0.2795 0.2000 0.4795  4 F 2.03-2.04
Hg3 0.7205 0.8000 0.5205  4 F 2.03-2.04
Hg4 0.7795 0.3000 0.0795  4 F 2.03-2.04
F1 0.0000 0.5000 0.5000  2 F 1.71
F2 0.0256 0.9734 0.2667  1 Hg 2.04, 1 Ag 2.25
F3 0.0336 0.3443 0.1114  1 Hg 2.03
F4 0.1558 0.4297 0.5856  1 F 1.71
F5 0.2067 0.4734 0.9479  1 Hg 2.04, 1 Ag 2.25
F6 0.2329 0.9222 0.8886  1 Hg 2.03
F7 0.2671 0.1557 0.6893  1 Hg 2.03
F8 0.2933 0.2411 0.2667  1 Hg 2.04, 1 Ag 2.25
F9 0.3442 0.9297 0.2739  1 F 1.71
F10 0.4664 0.5778 0.3107  1 Hg 2.03
F11 0.4744 0.7411 0.9479  1 Hg 2.04, 1 Ag 2.25
F12 0.5000 0.0000 0.5000  2 F 1.71
F13 0.5256 0.2589 0.0521  1 Hg 2.04, 1 Ag 2.25
F14 0.5336 0.4222 0.6893  1 Hg 2.03
F15 0.6558 0.0703 0.7261  1 F 1.71
F16 0.7067 0.7589 0.7333  1 Hg 2.04, 1 Ag 2.25
F17 0.7329 0.8443 0.3107  1 Hg 2.03
F18 0.7671 0.0778 0.1114  1 Hg 2.03
F19 0.7933 0.5266 0.0521  1 Hg 2.04, 1 Ag 2.25
F20 0.8442 0.5703 0.4144  1 F 1.71
F21 0.9664 0.6557 0.8886  1 Hg 2.03
F22 0.9744 0.0266 0.7333  1 Hg 2.04, 1 Ag 2.25

***

Record 4
This record from the Alexandria database describes an optimized crystal structure of Ag3Hg2F4. The functional is PBE-GGA.

Results
As for the density of states at the Fermi level: 2.082 states/eV/cell. The magnetic moment comes out at 0.00 μB per atom. The formation energy (no corrections) is -919 meV/atom.

Unit cell a=9.0857 b=9.0857 c=5.8164 alpha=96.39 beta=96.39 gamma=39.38
Closest atoms and distances in Å follow each position.
Sites, in units of the cell vectors:
Ag1 0.0187 0.6261 0.7531  4 F 2.34-2.49
Ag2 0.1989 0.8011 0.7500  4 F 2.43-2.52
Ag3 0.3739 0.9813 0.7469  4 F 2.34-2.49
Ag4 0.6261 0.0187 0.2531  4 F 2.34-2.49
Ag5 0.8011 0.1989 0.2500  4 F 2.43-2.52
Ag6 0.9813 0.3739 0.2469  4 F 2.34-2.49
Hg1 0.3254 0.4912 0.1238  2 F 2.44-2.60
Hg2 0.4912 0.3254 0.6238  2 F 2.44-2.60
Hg3 0.5088 0.6746 0.3762  2 F 2.44-2.60
Hg4 0.6746 0.5088 0.8762  2 F 2.44-2.60
F1 0.0155 0.8233 0.3740  3 Ag 2.43-2.52, 1 Hg 2.44
F2 0.1767 0.9845 0.1260  3 Ag 2.43-2.52, 1 Hg 2.44
F3 0.2593 0.2595 0.0247  3 Ag 2.34-2.46, 1 Hg 2.60
F4 0.2595 0.2593 0.5247  3 Ag 2.34-2.46, 1 Hg 2.60
F5 0.7405 0.7407 0.4753  3 Ag 2.34-2.46, 1 Hg 2.60
F6 0.7407 0.7405 0.9753  3 Ag 2.34-2.46, 1 Hg 2.60
F7 0.8233 0.0155 0.8740  3 Ag 2.43-2.52, 1 Hg 2.44
F8 0.9845 0.1767 0.6260  3 Ag 2.43-2.52, 1 Hg 2.44

***

Record 5
This record from the Alexandria database describes an optimized crystal structure of AgHgF. The functional is PBE-GGA.

Results
As for the density of states at the Fermi level: 0.392 states/eV/cell. The magnetic moment comes out at 0.00 μB per atom. The formation energy (no corrections) is -737 meV/atom.

Unit cell a=5.0607 b=5.0607 c=5.4987 alpha=116.55 beta=116.55 gamma=89.14
Closest atoms and distances in Å follow each position.
Sites, in units of the cell vectors:
Ag1 0.0728 0.9272 0.5000  2 F 2.36-2.40
Ag2 0.9272 0.0728 0.0000  2 F 2.36-2.40
Hg1 0.1846 0.5448 0.9556  2 F 2.57, 1 Ag 2.86
Hg2 0.5448 0.1846 0.4556  2 F 2.57, 1 Ag 2.86
F1 0.4678 0.7152 0.7429  2 Ag 2.36-2.40, 2 Hg 2.57
F2 0.7152 0.4678 0.2429  2 Ag 2.36-2.40, 2 Hg 2.57

***

Record 6
This record from the Alexandria database describes an optimized crystal structure of AgHgF3. The functional is PBE-GGA.

Results
As for the density of states at the Fermi level: 4.355 states/eV/cell. The magnetic moment comes out at 0.00 μB per atom. The formation energy (no corrections) is -954 meV/atom.

Unit cell a=4.3697 b=4.3697 c=4.3697 alpha=90.00 beta=90.00 gamma=90.00
Closest atoms and distances in Å follow each position.
Sites, in units of the cell vectors:
Ag1 0.0000 0.0000 0.0000  6 F 2.18
Hg1 0.5000 0.5000 0.5000  12 F 3.09
F1 0.0000 0.0000 0.5000  2 Ag 2.18
F2 0.0000 0.5000 0.0000  2 Ag 2.18
F3 0.5000 0.0000 0.0000  2 Ag 2.18